# 1
The following is a DFT calculation (PBE-GGA) of an optimized crystal structure of NpPtRh.

Lattice parameters (Å, degrees): 4.023 4.023 6.941 90.00 90.00 90.00
Each line ends with the local moment (μB).
Atoms (fractional coordinates):
Np: 0.003 0.503 0.165  3.37
Np: 0.503 0.003 0.835  3.37
Rh: 0.503 0.003 0.217  -0.32
Rh: 0.003 0.503 0.783  -0.32
Pt: 0.003 0.003 0.500  -0.14
Pt: 0.503 0.503 0.500  -0.14

## Properties
The crystal system is tetragonal. The value obtained for the formation energy is -0.3882 eV/atom.

***

# 2
The following is a DFT calculation (PBE-GGA) of an optimized crystal structure of FeNiBi3.

Lattice parameters (Å, degrees): 5.132 5.132 5.132 90.00 90.00 90.00
Each line ends with the local moment (μB).
Atoms (fractional coordinates):
Ni: 0.000 0.000 0.000  -0.03
Bi: 0.000 0.500 0.000  -0.07
Bi: 0.000 0.000 0.500  -0.03
Bi: 0.500 0.000 0.000  -0.11
Fe: 0.500 0.500 0.500  3.17

## Properties
The crystal system is cubic. The value obtained for the formation energy is 0.7574 eV/atom.

***

# 3
The following is a DFT calculation (PBE-GGA) of an optimized crystal structure of La3Sn4Au2.

Lattice parameters (Å, degrees): 4.844 6.289 9.268 106.88 90.00 112.65
Atoms (fractional coordinates):
La: 0.641 0.283 0.684
La: 0.000 0.000 0.000
La: 0.359 0.717 0.316
Sn: 0.705 0.409 0.058
Sn: 0.295 0.591 0.942
Sn: 0.922 0.844 0.601
Sn: 0.078 0.156 0.399
Au: 0.671 0.342 0.341
Au: 0.329 0.658 0.659

## Properties
The crystal system is monoclinic. The value obtained for the formation energy is -0.7607 eV/atom.

***

# 4
The following is a DFT calculation (PBE-GGA) of an optimized crystal structure of TlPb2Se.

Lattice parameters (Å, degrees): 6.165 6.165 6.165 134.56 134.56 66.21
Atoms (fractional coordinates):
Pb: 0.000 0.000 0.000
Pb: 0.500 0.500 0.000
Se: 0.250 0.750 0.500
Tl: 0.750 0.250 0.500

## Properties
The uncorrected formation energy comes out at -0.064 eV/atom. The crystal system is tetragonal.

***

How do the records compare in calculated volume? In the order shown, they have 112; 135; 247; 117 Å³ per cell.
How do the records compare in Fermi-level density of states? In the order shown, they have 2.92; 1.41; 0.48; 0.52 states/eV/atom.
How do the records compare in total magnetic moment? In the order shown, they have 6.28; 3.03; 0.00; 0.00 Bohr magnetons per cell.